## GdDyTl (PBE)

Data for crystalline GdDyTl at its relaxed geometry.

Cell lengths 5.203, 5.203, 5.203 Å; angles 60.00, 60.00, 60.00 degrees
Last column: magnetic moment on the atom in μB.
Sites, in units of the cell vectors:
Dy (0.000, 0.000, 0.000)  -0.25
Tl (0.250, 0.250, 0.250)  0.00
Gd (0.500, 0.500, 0.500)  -7.24

- VASP energy (eV/atom) = -7.081
- energy above the lowest structure with this stoichiometry (meV per atom) = 174.4
- magnetization (μB per formula unit) = 7.98
- ΔE_f (kJ/mol of atoms) = -6.23
- theoretical density (g cm⁻³) = 8.7
- Fermi-level density of states (states/eV/cell) = 4.69
- crystal system = cubic



## BaMo2Ru (PBE)

Data for crystalline BaMo2Ru at its relaxed geometry.

Cell lengths 5.719, 5.719, 2.911 Å; angles 90.00, 90.00, 124.72 degrees
Sites, in units of the cell vectors:
Ru (0.500, 0.000, 0.500)
Ba (0.000, 0.500, 0.500)
Mo (0.000, 0.000, 0.000)
Mo (0.500, 0.500, 0.000)

- VASP energy (eV/atom) = -6.874
- energy above the lowest structure with this stoichiometry (meV per atom) = 698.2
- magnetization (μB per formula unit) = 0.00
- ΔE_f (kJ/mol of atoms) = 129.40
- theoretical density (g cm⁻³) = 9.1
- Fermi-level density of states (states/eV/cell) = 5.46
- crystal system = orthorhombic



## Li5ScPd6 (PBE)

Data for crystalline Li5ScPd6 at its relaxed geometry.

Cell lengths 4.331, 6.111, 6.788 Å; angles 90.00, 108.32, 90.00 degrees
Sites, in units of the cell vectors:
Pd (0.169, 0.255, 0.338)
Pd (0.831, 0.255, 0.662)
Pd (0.169, 0.745, 0.338)
Pd (0.500, 0.740, 0.000)
Pd (0.831, 0.745, 0.662)
Pd (0.500, 0.260, 0.000)
Li (0.333, 0.500, 0.667)
Li (0.669, 0.000, 0.338)
Li (0.667, 0.500, 0.333)
Li (0.000, 0.500, 0.000)
Li (0.331, 0.000, 0.662)
Sc (0.000, 0.000, 0.000)

- VASP energy (eV/atom) = -4.483
- magnetization (μB per formula unit) = 0.00
- ΔE_f (kJ/mol of atoms) = -54.16
- theoretical density (g cm⁻³) = 7.0
- Fermi-level density of states (states/eV/cell) = 2.15
- crystal system = monoclinic



## Al3ZnAg5 (PBE)

Data for crystalline Al3ZnAg5 at its relaxed geometry.

Cell lengths 6.307, 6.307, 9.368 Å; angles 82.53, 82.53, 79.16 degrees
Sites, in units of the cell vectors:
Ag (0.308, 0.692, 0.000)
Ag (0.947, 0.301, 0.241)
Ag (0.053, 0.699, 0.759)
Ag (0.301, 0.947, 0.241)
Ag (0.441, 0.441, 0.651)
Ag (0.699, 0.053, 0.759)
Ag (0.730, 0.730, 0.060)
Ag (0.270, 0.270, 0.940)
Ag (0.559, 0.559, 0.349)
Ag (0.692, 0.308, 0.000)
Al (0.000, 0.000, 0.000)
Al (0.000, 0.000, 0.500)
Al (0.637, 0.637, 0.809)
Al (0.723, 0.723, 0.539)
Al (0.363, 0.363, 0.191)
Al (0.277, 0.277, 0.461)
Zn (0.861, 0.861, 0.279)
Zn (0.139, 0.139, 0.721)

- VASP energy (eV/atom) = -2.766
- energy above the lowest structure with this stoichiometry (meV per atom) = 196.1
- magnetization (μB per formula unit) = 0.00
- ΔE_f (kJ/mol of atoms) = 19.93
- theoretical density (g cm⁻³) = 6.3
- Fermi-level density of states (states/eV/cell) = 5.26
- crystal system = monoclinic



## LiVSi (PBE)

Data for crystalline LiVSi at its relaxed geometry.

Cell lengths 2.689, 4.467, 7.441 Å; angles 93.46, 91.29, 108.00 degrees
Sites, in units of the cell vectors:
V (0.191, 0.738, 0.424)
V (0.809, 0.262, 0.576)
Si (0.343, 0.255, 0.277)
Si (0.657, 0.745, 0.723)
Li (0.350, 0.216, 0.910)
Li (0.650, 0.784, 0.090)

- VASP energy (eV/atom) = -5.689
- magnetization (μB per formula unit) = 0.00
- theoretical density (g cm⁻³) = 3.4
- uncorrected formation energy (eV per atom) = -0.203
- Fermi-level density of states (states/eV/cell) = 2.76
- crystal system = triclinic



## Sc2HgBr (PBE)

Data for crystalline Sc2HgBr at its relaxed geometry.

Cell lengths 5.235, 5.235, 5.235 Å; angles 60.00, 60.00, 60.00 degrees
Last column: magnetic moment on the atom in μB.
Sites, in units of the cell vectors:
Br (0.500, 0.500, 0.500)  0.01
Sc (0.000, 0.000, 0.000)  0.94
Sc (0.250, 0.250, 0.250)  0.93
Hg (0.750, 0.750, 0.750)  0.05

- VASP energy (eV/atom) = -3.505
- energy above the lowest structure with this stoichiometry (meV per atom) = 743.1
- magnetization (μB per formula unit) = 3.05
- theoretical density (g cm⁻³) = 6.1
- uncorrected formation energy (eV per atom) = 0.155
- Fermi-level density of states (states/eV/cell) = 7.45
- crystal system = cubic